Record 1
LiSbSe2: PBEsol geometry, SCAN.

a = 6.848 Å, b = 6.848 Å, c = 6.848 Å
α = 34.01°, β = 34.01°, γ = 34.01°
Sites, in units of the cell vectors:
Li1 0.000 0.000 0.000
Sb1 0.500 0.500 0.500
Se1 0.254 0.254 0.254
Se2 0.746 0.746 0.746

**M_tot**: 0.00 Bohr magnetons per cell
**Space-group type**: R-3m (166)
**Total DFT energy (no corrections)**: -20.63 eV/atom
**ΔE_f (raw)**: -0.68 eV per atom

=====

Record 2
CsK2Rb2: PBEsol geometry, SCAN.

a = 12.345 Å, b = 12.345 Å, c = 12.345 Å
α = 150.87°, β = 150.87°, γ = 41.67°
Sites, in units of the cell vectors:
Cs1 0.000 0.000 0.000
K1 0.250 0.750 0.500
K2 0.750 0.250 0.500
Rb1 0.398 0.398 0.000
Rb2 0.602 0.602 0.000

**M_tot**: 0.01 Bohr magnetons per cell
**Space-group type**: I4/mmm (139)
**Total DFT energy (no corrections)**: -19.14 eV/atom
**Energy above the lowest structure with this stoichiometry**: 40.0 meV/atom

=====

Record 3
RePRhO2: PBEsol geometry, SCAN.

a = 3.663 Å, b = 3.663 Å, c = 5.216 Å
α = 90.00°, β = 90.00°, γ = 90.00°
Sites, in units of the cell vectors:
Re1 0.000 0.000 0.000
P1 0.000 0.000 0.500
Rh1 0.500 0.500 0.500
O1 0.000 0.500 0.000
O2 0.500 0.000 0.000

**M_tot**: 1.05 Bohr magnetons per cell
**Space-group type**: P4/mmm (123)
**Total DFT energy (no corrections)**: -26.04 eV/atom
**ΔE_f (raw)**: -0.50 eV per atom

=====

Number 1: calculated volume 22.4 A^3/atom. Number 2: calculated volume 89.0 A^3/atom. Number 3: calculated volume 14.0 A^3/atom.